Compound: K2RbZnAu
Source: Alexandria via LeMat-Bulk
Functional: PBE
Structure: optimized geometry

Computed properties:
As for the magnetic moment: 0.57 μB/f.u. Its energy of formation from the pure elements is 69 meV per atom. The uncorrected energy comes out at -7.37 eV/cell. Its energy above the most stable polymorph in this dataset is 132 meV per atom. The density comes out at 2.618 g/cm³.

Cell: 6.3791 6.3791 6.6409 Å, 90.00 90.00 90.00°
Fractional positions:
Zn 0.5000 0.5000 0.5000
Rb 0.0000 0.0000 0.5000
Au 0.0000 0.0000 0.0000
K 0.5000 0.0000 0.0000
K 0.0000 0.5000 0.0000